# 1
VASP calculation (GGA-PBE) on an optimized crystal structure of NaAc5Cd6.

## Properties
Symmetry: No. 65
Energy of formation from the pure elements (meV per atom): -255
Crystal system: orthorhombic

a b c (Å): 5.7282 8.0737 9.0359
angles (deg): 89.99 71.52 89.97
Element x y z (fractional)
1 Cd 0.5000 0.7500 0.0000
2 Cd 0.8361 0.7571 0.3279
3 Cd 0.1640 0.7571 0.6721
4 Cd 0.5000 0.2500 0.0000
5 Cd 0.8360 0.2429 0.3279
6 Cd 0.1639 0.2429 0.6721
7 Ac 0.3371 0.0000 0.3258
8 Ac 0.0000 0.5000 0.0000
9 Ac 0.3310 0.5000 0.3380
10 Ac 0.6629 0.0000 0.6742
11 Ac 0.6690 0.5000 0.6620
12 Na 0.0000 0.0000 0.0000

---

# 2
VASP calculation (GGA-PBE) on an optimized crystal structure of LaTaSnH2.

## Properties
Symmetry: No. 123
Total DFT energy (no corrections) (Ry/atom): -0.3680
Crystal system: tetragonal

a b c (Å): 4.1381 6.4569 4.1381
angles (deg): 90.00 90.00 90.00
Element x y z (fractional)
1 H 0.5000 0.0000 0.0000
2 H 0.0000 0.0000 0.5000
3 Sn 0.5000 0.5000 0.5000
4 Ta 0.0000 0.5000 0.0000
5 La 0.0000 0.0000 0.0000

---

# 3
VASP calculation (GGA-PBE) on an optimized crystal structure of Co2NiPt5.

## Properties
Symmetry: No. 140
Energy of formation from the pure elements (meV per atom): 92
Crystal system: tetragonal

a b c (Å): 6.4966 6.4966 7.1393
angles (deg): 117.06 117.06 90.00
Each line ends with the local moment (μB).
Element x y z (fractional)
1 Co 0.3665 0.8665 0.0000  1.86
2 Co 0.8665 0.6335 0.0000  1.86
3 Co 0.1335 0.3665 0.0000  1.86
4 Co 0.6335 0.1335 0.0000  1.86
5 Pt 0.3133 0.8133 0.3133  0.33
6 Pt 0.1867 0.0000 0.6867  0.33
7 Pt 0.5000 0.3133 0.3133  0.33
8 Pt 0.5000 0.6867 0.6867  0.33
9 Pt 0.5000 0.5000 0.0000  0.40
10 Pt 0.6867 0.1867 0.6867  0.33
11 Pt 0.0000 0.0000 0.0000  0.40
12 Pt 0.0000 0.5000 0.6867  0.33
13 Pt 0.8133 0.0000 0.3133  0.33
14 Pt 0.0000 0.5000 0.3133  0.33
15 Ni 0.2500 0.2500 0.5000  0.75
16 Ni 0.7500 0.7500 0.5000  0.75

---

| no. | D(E_F) (states/eV/cell) |
| --- | --- |
| 1 | 11.33 |
| 2 | 3.71 |
| 3 | 24.34 |